<i>
The following is a DFT calculation (GGA-PBE) of a relaxed structure of HoUTc2.

Unit cell a=4.791 b=4.791 c=3.368 alpha=90.00 beta=90.00 gamma=90.00
Space group P4/mmm (No. 123)
Inequivalent atoms, fractional coordinates:
Ho 0.000 0.000 0.000 x1
U 0.500 0.500 0.000 x1
Tc 0.000 0.500 0.500 x2

=====

<ii>
The following is a DFT calculation (GGA-PBE) of a relaxed structure of HoUTc2.

Unit cell a=3.362 b=3.362 c=6.955 alpha=90.00 beta=90.00 gamma=90.00
Space group P4/mmm (No. 123)
Inequivalent atoms, fractional coordinates:
Ho 0.000 0.000 0.000 x1
U 0.000 0.000 0.500 x1
Tc 0.500 0.500 0.291 x2

=====

<iii>
The following is a DFT calculation (GGA-PBE) of a relaxed structure of HoUTc2.

Unit cell a=6.775 b=6.775 c=6.775 alpha=90.00 beta=90.00 gamma=90.00
Space group Fm-3m (No. 225)
Inequivalent atoms, fractional coordinates:
Ho 0.000 0.000 0.000 x4
U 0.000 0.000 0.500 x4
Tc 0.250 0.250 0.250 x8

=====

<iv>
The following is a DFT calculation (GGA-PBE) of a relaxed structure of HoUTc2.

Unit cell a=3.3673 b=3.3673 c=24.7911 alpha=90.00 beta=90.00 gamma=120.00
Space group R-3m (No. 166, hexagonal axes)
Inequivalent atoms, fractional coordinates:
Ho 0.0000 0.0000 0.0000 x3
U 0.0000 0.0000 0.5000 x3
Tc 0.0000 0.0000 0.2368 x6

=====

Stability, descending: <ii>, <i>, <iii>, <iv>

=====

<i>
The following is a DFT calculation (GGA-PBE) of a relaxed structure of HoTcW.

Unit cell a=5.470 b=5.515 c=7.629 alpha=90.00 beta=90.00 gamma=90.00
Space group Imma (No. 74)
Inequivalent atoms, fractional coordinates:
Ho 0.000 0.250 0.127 x4
Tc 0.000 0.000 0.500 x4
W 0.250 0.250 0.750 x4

=====

<ii>
The following is a DFT calculation (GGA-PBE) of a relaxed structure of HoTcW.

Unit cell a=3.221 b=3.221 c=10.846 alpha=90.00 beta=90.00 gamma=90.00
Space group I4mm (No. 107)
Inequivalent atoms, fractional coordinates:
Ho 0.000 0.000 0.000 x2
Tc 0.000 0.000 0.684 x2
W 0.000 0.000 0.309 x2

=====

<iii>
The following is a DFT calculation (GGA-PBE) of a relaxed structure of HoTcW.

Unit cell a=3.1600 b=3.1600 c=13.5072 alpha=90.00 beta=90.00 gamma=120.00
Space group P6_3mc (No. 186)
Inequivalent atoms, fractional coordinates:
Ho 0.3333 0.6667 0.0000 x2
Tc 0.3333 0.6667 0.3211 x2
W 0.0000 0.0000 0.1902 x2

=====

Stability, descending: <i>, <ii>, <iii>

=====

<i>
The following is a DFT calculation (GGA-PBE) of a relaxed structure of Y2HoTc.

Unit cell a=7.419 b=9.205 c=6.280 alpha=90.00 beta=90.00 gamma=90.00
Space group Pnma (No. 62)
Inequivalent atoms, fractional coordinates:
Y 0.177 0.064 0.160 x8
Ho 0.044 0.250 0.631 x4
Tc 0.115 0.750 0.965 x4

=====

<ii>
The following is a DFT calculation (GGA-PBE) of a relaxed structure of Y2HoTc.

Unit cell a=3.470 b=3.470 c=8.845 alpha=90.00 beta=90.00 gamma=90.00
Space group P4/mmm (No. 123)
Inequivalent atoms, fractional coordinates:
Y 0.000 0.000 0.187 x2
Ho 0.500 0.500 0.500 x1
Tc 0.500 0.500 0.000 x1

=====

Stability, descending: <i>, <ii>

=====

<i>
The following is a DFT calculation (GGA-PBE) of a relaxed structure of HoZnTc.

Unit cell a=8.467 b=5.495 c=5.196 alpha=90.00 beta=105.48 gamma=90.00
Space group C2/m (No. 12)
Inequivalent atoms, fractional coordinates:
Ho 0.154 0.000 0.424 x4
Zn 0.250 0.250 0.000 x4
Tc 0.001 0.500 0.730 x4

=====

<ii>
The following is a DFT calculation (GGA-PBE) of a relaxed structure of HoZnTc.

Unit cell a=5.233 b=5.372 c=7.848 alpha=90.00 beta=90.00 gamma=90.00
Space group Imma (No. 74)
Inequivalent atoms, fractional coordinates:
Ho 0.000 0.250 0.118 x4
Zn 0.000 0.000 0.500 x4
Tc 0.250 0.250 0.750 x4

=====

Stability, descending: <ii>, <i>

=====

<i>
The following is a DFT calculation (GGA-PBE) of a relaxed structure of HoZr2Tc.

Unit cell a=3.344 b=3.344 c=8.017 alpha=90.00 beta=90.00 gamma=90.00
Space group P4/mmm (No. 123)
Inequivalent atoms, fractional coordinates:
Ho 0.000 0.000 0.000 x1
Zr 0.500 0.500 0.305 x2
Tc 0.000 0.000 0.500 x1

=====

<ii>
The following is a DFT calculation (GGA-PBE) of a relaxed structure of HoZr2Tc.

Unit cell a=3.2472 b=3.2472 c=30.8169 alpha=90.00 beta=90.00 gamma=120.00
Space group R-3m (No. 166, hexagonal axes)
Inequivalent atoms, fractional coordinates:
Ho 0.0000 0.0000 0.0000 x3
Zr 0.0000 0.0000 0.1025 x6
Tc 0.0000 0.0000 0.5000 x3

=====

Stability, descending: <i>, <ii>

=====

<i>
The following is a DFT calculation (GGA-PBE) of a relaxed structure of Ho3Te.

Unit cell a=12.303 b=12.303 c=6.096 alpha=90.00 beta=90.00 gamma=90.00
Space group P4_2/n (No. 86, origin choice 2)
Inequivalent atoms, fractional coordinates:
Ho 0.036 0.575 0.237 x8
Ho 0.108 0.221 0.040 x8
Ho 0.142 0.667 0.713 x8
Te 0.049 0.206 0.544 x8

=====

<ii>
The following is a DFT calculation (GGA-PBE) of a relaxed structure of Ho3Te.

Unit cell a=3.762 b=10.398 c=5.925 alpha=90.00 beta=90.00 gamma=90.00
Space group Imm2 (No. 44)
Inequivalent atoms, fractional coordinates:
Ho 0.000 0.000 0.000 x2
Ho 0.000 0.224 0.612 x4
Te 0.000 0.500 0.924 x2

=====

<iii>
The following is a DFT calculation (GGA-PBE) of a relaxed structure of Ho3Te.

Unit cell a=7.370 b=3.839 c=8.469 alpha=90.00 beta=94.18 gamma=90.00
Space group P2_1/m (No. 11)
Inequivalent atoms, fractional coordinates:
Ho 0.082 0.250 0.343 x2
Ho 0.227 0.250 0.933 x2
Ho 0.360 0.750 0.605 x2
Te 0.374 0.750 0.202 x2

=====

Stability, descending: <i>, <iii>, <ii>

=====

<i>
The following is a DFT calculation (GGA-PBE) of a relaxed structure of HoThTe3.

Unit cell a=6.223 b=4.497 c=11.772 alpha=90.00 beta=90.00 gamma=90.00
Space group Pmma (No. 51)
Inequivalent atoms, fractional coordinates:
Ho 0.250 0.000 0.108 x2
Th 0.250 0.500 0.646 x2
Te 0.000 0.000 0.500 x2
Te 0.250 0.000 0.851 x2
Te 0.250 0.500 0.268 x2

=====

<ii>
The following is a DFT calculation (GGA-PBE) of a relaxed structure of HoThTe3.

Unit cell a=4.422 b=22.343 c=7.678 alpha=90.00 beta=90.00 gamma=90.00
Space group Cmc2_1 (No. 36)
Inequivalent atoms, fractional coordinates:
Ho 0.000 0.164 0.000 x4
Th 0.000 0.339 0.003 x4
Te 0.000 0.085 0.323 x4
Te 0.000 0.251 0.668 x4
Te 0.000 0.410 0.345 x4

=====

Stability, descending: <ii>, <i>

=====

<i>
The following is a DFT calculation (GGA-PBE) of a relaxed structure of Ho2ThTe.

Unit cell a=3.803 b=3.803 c=8.108 alpha=90.00 beta=90.00 gamma=90.00
Space group P4/mmm (No. 123)
Inequivalent atoms, fractional coordinates:
Ho 0.000 0.000 0.224 x2
Th 0.500 0.500 0.500 x1
Te 0.500 0.500 0.000 x1

=====

<ii>
The following is a DFT calculation (GGA-PBE) of a relaxed structure of Ho2ThTe.

Unit cell a=3.8279 b=3.8279 c=29.7332 alpha=90.00 beta=90.00 gamma=120.00
Space group R3m (No. 160, hexagonal axes)
Inequivalent atoms, fractional coordinates:
Ho 0.0000 0.0000 0.0000 x3
Ho 0.0000 0.0000 0.1911 x3
Th 0.0000 0.0000 0.7624 x3
Te 0.0000 0.0000 0.5955 x3

=====

Stability, descending: <i>, <ii>

=====

<i>
The following is a DFT calculation (GGA-PBE) of a relaxed structure of Ho4TlTe.

Unit cell a=6.125 b=6.479 c=8.596 alpha=90.00 beta=92.52 gamma=90.00
Space group P2_1/m (No. 11)
Inequivalent atoms, fractional coordinates:
Ho 0.126 0.250 0.343 x2
Ho 0.156 0.750 0.041 x2
Ho 0.356 0.003 0.695 x4
Tl 0.193 0.750 0.391 x2
Te 0.339 0.250 0.026 x2

=====

<ii>
The following is a DFT calculation (GGA-PBE) of a relaxed structure of Ho4TlTe.

Unit cell a=7.352 b=4.640 c=20.862 alpha=90.00 beta=90.00 gamma=90.00
Space group Pnma (No. 62)
Inequivalent atoms, fractional coordinates:
Ho 0.051 0.250 0.077 x4
Ho 0.069 0.250 0.359 x4
Ho 0.088 0.250 0.783 x4
Ho 0.139 0.250 0.528 x4
Tl 0.215 0.250 0.928 x4
Te 0.202 0.250 0.215 x4

=====

Stability, descending: <i>, <ii>

=====

<i>
The following is a DFT calculation (GGA-PBE) of a relaxed structure of Ho3TlTe2.

Unit cell a=4.238 b=6.166 c=13.438 alpha=90.00 beta=90.00 gamma=90.00
Space group Immm (No. 71)
Inequivalent atoms, fractional coordinates:
Ho 0.000 0.000 0.000 x2
Ho 0.000 0.000 0.336 x4
Tl 0.000 0.500 0.000 x2
Te 0.000 0.500 0.331 x4

=====

<ii>
The following is a DFT calculation (GGA-PBE) of a relaxed structure of Ho3TlTe2.

Unit cell a=6.168 b=13.122 c=8.687 alpha=90.00 beta=90.01 gamma=90.00
Space group P2_1/c (No. 14)
Inequivalent atoms, fractional coordinates:
Ho 0.249 0.081 0.120 x4
Ho 0.250 0.080 0.636 x4
Ho 0.251 0.750 0.125 x4
Tl 0.251 0.587 0.375 x4
Te 0.249 0.245 0.377 x4
Te 0.250 0.582 0.878 x4

=====

Stability, descending: <i>, <ii>